Record 1
# Tb8Ho6Tm

Crystalline Tb8Ho6Tm at its relaxed geometry (PBE-GGA, Alexandria).

Summary:
As for the volume: 477 Å³ per cell. As for the total moment: 0.000 μB/f.u. Its space group is R-3, No. 148. The value obtained for the uncorrected energy is -4.47 eV/atom. The calculation puts the energy above the lowest structure with this stoichiometry at 0 meV/atom. The calculation puts the formation energy at 0.13 eV per atom.

a = 8.979 Å, b = 8.979 Å, c = 8.573 Å
α = 58.42°, β = 58.42°, γ = 60.00°
Atoms (fractional coordinates):
Tm: 0.000 0.000 0.000
Ho: 0.460 0.896 0.879
Ho: 0.104 0.234 0.121
Ho: 0.234 0.540 0.121
Ho: 0.896 0.766 0.879
Ho: 0.540 0.104 0.121
Ho: 0.766 0.460 0.879
Tb: 0.577 0.577 0.269
Tb: 0.721 0.111 0.423
Tb: 0.111 0.746 0.423
Tb: 0.423 0.423 0.731
Tb: 0.746 0.721 0.423
Tb: 0.254 0.279 0.577
Tb: 0.279 0.889 0.577
Tb: 0.889 0.254 0.577

***

Record 2
# LiMgV

Crystalline LiMgV at its relaxed geometry (PBE-GGA, Alexandria).

Summary:
As for the volume: 107 Å³ per cell. As for the total moment: 0.000 μB/f.u. Its space group is P-1, No. 2. The value obtained for the uncorrected energy is -3.99 eV/atom. The calculation puts the energy above the lowest structure with this stoichiometry at 0 meV/atom. The calculation puts the formation energy at 0.22 eV per atom.

a = 9.081 Å, b = 2.901 Å, c = 4.109 Å
α = 89.11°, β = 94.26°, γ = 81.72°
Atoms (fractional coordinates):
Mg: 0.235 0.857 0.211
Mg: 0.765 0.143 0.789
Li: 0.589 0.701 0.262
Li: 0.411 0.299 0.738
V: 0.055 0.352 0.693
V: 0.945 0.648 0.307